[1]
Here is an optimized crystal structure of CaPrAl2Au4 from Alexandria via LeMat-Bulk. Energies are from PBE.

a = 4.5110 Å, b = 4.5110 Å, c = 29.9318 Å
α = 90.00°, β = 90.00°, γ = 120.00°
Space group R-3m (No. 166, hexagonal axes)
Unique sites:
Ca1 0.0000 0.0000 0.0000 (multiplicity 3)
Pr1 0.0000 0.0000 0.5000 (multiplicity 3)
Al1 0.0000 0.0000 0.2519 (multiplicity 6)
Au1 0.0000 0.0000 0.1058 (multiplicity 6)
Au2 0.0000 0.0000 0.3918 (multiplicity 6)

Values from the calculation:
The calculation puts the density of states at the Fermi level at 11.36 states/eV/cell. The value obtained for the total energy is -32.64 eV/f.u.


[2]
Here is an optimized crystal structure of KCoP2 from Alexandria via LeMat-Bulk. Energies are from PBE.

a = 6.4250 Å, b = 6.4250 Å, c = 6.4250 Å
α = 90.00°, β = 90.00°, γ = 90.00°
Space group Fm-3m (No. 225)
Unique sites:
K1 0.0000 0.0000 0.0000 (multiplicity 4)
Co1 0.0000 0.0000 0.5000 (multiplicity 4)
P1 0.2500 0.2500 0.2500 (multiplicity 8)

Values from the calculation:
The calculation puts the density of states at the Fermi level at 5.46 states/eV/cell. The distance to the lowest polymorph of the same formula comes out at 1.034 eV/atom.


[3]
Here is an optimized crystal structure of CeGa4CoPt2 from Alexandria via LeMat-Bulk. Energies are from PBE.

a = 4.2530 Å, b = 4.2530 Å, c = 26.0763 Å
α = 90.00°, β = 90.00°, γ = 120.00°
Space group R-3m (No. 166, hexagonal axes)
Unique sites:
Ce1 0.0000 0.0000 0.0000 (multiplicity 3)
Ga1 0.0000 0.0000 0.1344 (multiplicity 6)
Ga2 0.0000 0.0000 0.4009 (multiplicity 6)
Co1 0.0000 0.0000 0.5000 (multiplicity 3)
Pt1 0.0000 0.0000 0.2349 (multiplicity 6)

Values from the calculation:
The calculation puts the density of states at the Fermi level at 18.81 states/eV/cell. The value obtained for the total energy is -42.09 eV/f.u.